NbAgF2 at its PBEsol-relaxed geometry. Source: Alexandria via LeMat-Bulk, functional SCAN. Values from VASP.

Geometry as Quantum ESPRESSO input:
```
&SYSTEM
  ibrav = 0, nat = 4, ntyp = 3
/
ATOMIC_SPECIES
Nb 92.91 Nb.upf
Ag 107.87 Ag.upf
F 19.00 F.upf
CELL_PARAMETERS angstrom
1.472 0.850 9.429
-1.472 0.850 9.429
0.000 -1.700 9.429
ATOMIC_POSITIONS angstrom
Nb 0.000 0.000 0.000
Ag 0.000 0.000 14.144
F 0.000 0.000 1.894
F 0.000 0.000 26.393
```

Results
calculated density	5.60	g cm⁻³
energy above the most stable polymorph in this dataset	0.0	meV per atom
energy	-19.242	eV/atom
M_tot	0.00	μB/f.u.